Here is a relaxed Na3Sr5I12 crystal from Alexandria. Energies are from PBE.

Lattice parameters (Å, degrees): 17.393 17.393 17.393 109.47 109.47 109.47
Element x y z (fractional)
Na 0.125 0.250 0.375
Na 0.125 0.375 0.750
Na 0.250 0.375 0.125
Na 0.250 0.875 0.625
Na 0.375 0.125 0.250
Na 0.375 0.750 0.125
Na 0.625 0.250 0.875
Na 0.625 0.875 0.750
Na 0.750 0.125 0.375
Na 0.750 0.625 0.875
Na 0.875 0.625 0.250
Na 0.875 0.750 0.625
Sr 0.000 0.000 0.000
Sr 0.000 0.000 0.500
Sr 0.000 0.500 0.000
Sr 0.000 0.500 0.500
Sr 0.125 0.750 0.875
Sr 0.125 0.875 0.250
Sr 0.250 0.125 0.875
Sr 0.250 0.625 0.375
Sr 0.375 0.250 0.625
Sr 0.375 0.625 0.750
Sr 0.500 0.000 0.000
Sr 0.500 0.000 0.500
Sr 0.500 0.500 0.000
Sr 0.500 0.500 0.500
Sr 0.625 0.375 0.250
Sr 0.625 0.750 0.375
Sr 0.750 0.375 0.625
Sr 0.750 0.875 0.125
Sr 0.875 0.125 0.750
Sr 0.875 0.250 0.125
I 0.043 0.218 0.122
I 0.043 0.326 0.921
I 0.079 0.622 0.405
I 0.079 0.957 0.674
I 0.095 0.718 0.674
I 0.095 0.878 0.421
I 0.122 0.043 0.218
I 0.122 0.579 0.905
I 0.174 0.218 0.595
I 0.174 0.457 0.579
I 0.218 0.122 0.043
I 0.218 0.595 0.174
I 0.282 0.326 0.905
I 0.282 0.457 0.378
I 0.326 0.905 0.282
I 0.326 0.921 0.043
I 0.378 0.282 0.457
I 0.378 0.595 0.921
I 0.405 0.079 0.622
I 0.405 0.826 0.782
I 0.421 0.095 0.878
I 0.421 0.826 0.543
I 0.457 0.378 0.282
I 0.457 0.579 0.174
I 0.543 0.421 0.826
I 0.543 0.622 0.718
I 0.579 0.174 0.457
I 0.579 0.905 0.122
I 0.595 0.174 0.218
I 0.595 0.921 0.378
I 0.622 0.405 0.079
I 0.622 0.718 0.543
I 0.674 0.079 0.957
I 0.674 0.095 0.718
I 0.718 0.543 0.622
I 0.718 0.674 0.095
I 0.782 0.405 0.826
I 0.782 0.878 0.957
I 0.826 0.543 0.421
I 0.826 0.782 0.405
I 0.878 0.421 0.095
I 0.878 0.957 0.782
I 0.905 0.122 0.579
I 0.905 0.282 0.326
I 0.921 0.043 0.326
I 0.921 0.378 0.595
I 0.957 0.674 0.079
I 0.957 0.782 0.878

VASP energy = -2.92 eV per atom
space-group type = Ia-3d, No. 230
raw formation energy = -1376 meV per atom
Fermi-level density of states = 2.30 states/eV/f.u.